Density functional theory data (PBE-GGA) for a relaxed structure of AcLaPm3Pr.

The structure belongs to space group C2/m (No. 12); the cell edges are 20.831, 5.895 and 7.262 Å and the angles 90.00°, 90.59° and 90.00°. The asymmetric unit holds Ac at (0.148, 0.000, 0.041), La at (0.143, 0.000, 0.491), Pm at (0.020, 0.000, 0.749), Pm at (0.162, 0.500, 0.754), Pm at (0.219, 0.500, 0.271) and Pr at (0.053, 0.500, 0.269).

The value obtained for the formation energy is 17.9 kJ/mol of atoms.

---

Density functional theory data (PBE-GGA) for a relaxed structure of Ag3Pb5.

The structure belongs to space group P6_3/mcm (No. 193); the cell edges are 8.7447, 8.7447 and 6.4698 Å and the angles 90.00°, 90.00° and 120.00°. The asymmetric unit holds Ag at (0.0000, 0.4026, 0.2500), Pb at (0.0000, 0.2418, 0.7500) and Pb at (0.3333, 0.6667, 0.0000).

The value obtained for the formation energy is 9.4 kJ/mol of atoms. The energy above the most stable polymorph in this dataset is 0.0 kJ/mol of formula units.

---

Density functional theory data (PBE-GGA) for a relaxed structure of PrCuAu.

The structure belongs to space group I4mm (No. 107); the cell edges are 3.748, 3.748 and 9.320 Å and the angles 90.00°, 90.00° and 90.00°. The asymmetric unit holds Pr at (0.000, 0.000, 0.000), Cu at (0.000, 0.000, 0.678) and Au at (0.000, 0.000, 0.325).

The value obtained for the formation energy is -38.5 kJ/mol of atoms. The energy above the most stable polymorph in this dataset is 35.3 kJ/mol of formula units.

---

Density functional theory data (PBE-GGA) for a relaxed structure of RbHfOs2.

The structure belongs to space group I-42d (No. 122); the cell edges are 5.015, 5.015 and 18.209 Å and the angles 90.00°, 90.00° and 90.00°. The asymmetric unit holds Rb at (0.000, 0.000, 0.000), Hf at (0.000, 0.000, 0.500) and Os at (0.025, 0.250, 0.625).

The value obtained for the formation energy is 127.5 kJ/mol of atoms. The energy above the most stable polymorph in this dataset is 0.0 kJ/mol of formula units.

---

Density functional theory data (PBE-GGA) for a relaxed structure of NaCr3Cl.

The structure belongs to space group Pm-3m (No. 221); the cell edges are 5.253, 5.253 and 5.253 Å and the angles 90.00°, 90.00° and 90.00°. The asymmetric unit holds Na at (0.000, 0.000, 0.000), Cr at (0.000, 0.000, 0.500) and Cl at (0.500, 0.500, 0.500).

The energy relative to the elements, uncorrected comes out at 1676 meV/atom. The energy above the most stable polymorph in this dataset is 249.8 kJ/mol of formula units.

---

Density functional theory data (PBE-GGA) for a relaxed structure of Co2NiMoH.

The structure belongs to space group P4/mmm (No. 123); the cell edges are 3.707, 3.707 and 3.560 Å and the angles 90.00°, 90.00° and 90.00°. The asymmetric unit holds Co at (0.000, 0.500, 0.000), Ni at (0.000, 0.000, 0.500), Mo at (0.500, 0.500, 0.500) and H at (0.000, 0.000, 0.000).

The energy above the most stable polymorph in this dataset is 0.0 kJ/mol of formula units.

---

Computed values of density of states at the Fermi level (unit: states/eV per cell) for the preceding records, in sequence: 33.43, 10.35, 3.40, 18.01, 2.50, 5.75.